[1]
First-principles (PBE-GGA) data for crystalline KHfNp2O8 at its relaxed geometry, as listed in the Alexandria database.

```
KHfNp2O8
1.0
3.4907 -3.6460 0.0000
3.4907 3.6460 0.0000
0.0000 0.0000 7.0007
K Hf Np O
1 1 2 8
Cartesian
0.0000 0.0000 0.0000
0.0000 0.0000 3.5004
3.4907 0.0000 1.7737
3.4907 0.0000 5.2271
1.4899 0.0000 2.0293
1.4899 0.0000 4.9714
3.4907 1.4845 3.5004
3.4907 1.1964 0.0000
3.4907 -1.1964 0.0000
3.4907 -1.4845 3.5004
5.4915 0.0000 2.0293
5.4915 0.0000 4.9714
```

Results
Its crystal system is orthorhombic.


[2]
First-principles (PBE-GGA) data for crystalline K3HfNp2S6 at its relaxed geometry, as listed in the Alexandria database.

```
K3HfNp2S6
1.0
3.4373 -5.9539 0.0000
3.4373 5.9539 0.0000
-2.2978 0.0000 7.3868
K Hf Np S
3 1 2 6
Cartesian
0.0000 0.0000 0.0000
3.4373 2.0109 0.0000
3.4373 -2.0109 0.0000
2.2884 0.0000 3.6934
2.2884 3.9713 3.6934
2.2884 -3.9713 3.6934
1.2063 1.8760 2.2167
0.1238 0.0000 5.1715
1.2063 -1.8760 2.2167
3.3704 1.8760 5.1701
4.4530 0.0000 2.2153
3.3704 -1.8760 5.1701
```

Results
Its crystal system is monoclinic.


[3]
First-principles (PBE-GGA) data for crystalline K3HfNp3S8 at its relaxed geometry, as listed in the Alexandria database.

```
K3HfNp3S8
1.0
3.9803 2.2980 7.5004
-3.9803 2.2980 7.5004
0.0000 -4.5961 7.5004
K Hf Np S
3 1 3 8
Cartesian
-1.9902 -1.1490 7.5004
-1.9902 1.1490 15.0008
0.0000 2.2980 7.5004
0.0000 0.0000 11.2506
-3.9803 0.0000 11.2506
-1.9902 1.1490 3.7502
1.9902 1.1490 3.7502
0.0000 0.0000 5.2582
-1.8708 -1.0801 12.6882
0.0000 -2.1602 9.8130
-1.8708 1.0801 9.8130
1.8708 -1.0801 12.6882
0.0000 2.1602 12.6882
1.8708 1.0801 9.8130
0.0000 0.0000 17.2430
```

Results
Its crystal system is trigonal.


[4]
First-principles (PBE-GGA) data for crystalline K3HfNp2Se6 at its relaxed geometry, as listed in the Alexandria database.

```
K3HfNp2Se6
1.0
3.5844 -6.2093 0.0000
3.5844 6.2093 0.0000
-2.3983 0.0000 7.7144
K Hf Np Se
3 1 2 6
Cartesian
0.0000 0.0000 0.0000
3.5844 2.1086 0.0000
3.5844 -2.1086 0.0000
2.3853 0.0000 3.8572
2.3853 4.1431 3.8572
2.3853 -4.1431 3.8572
1.2577 1.9560 2.2829
0.1297 0.0000 5.4351
1.2577 -1.9560 2.2829
3.5129 1.9560 5.4315
4.6409 0.0000 2.2793
3.5129 -1.9560 5.4315
```

Results
Its crystal system is monoclinic.


Number 1: volume 14.85 A^3/atom, raw formation energy -64.7 kcal/mol of atoms. Number 2: volume 25.20 A^3/atom, raw formation energy -32.7 kcal/mol of atoms. Number 3: volume 27.44 A^3/atom, raw formation energy -33.4 kcal/mol of atoms. Number 4: volume 28.62 A^3/atom, raw formation energy -29.1 kcal/mol of atoms.